A plane-wave DFT calculation with PBE-GGA was carried out for a relaxed structure of Cs2LiIn2Br6.

Geometry as POSCAR:
```
Cs2LiIn2Br6
1.0
8.1507 0.0000 0.0000
-4.0753 7.0321 -0.3877
0.0000 -4.5168 8.1128
Cs Li In Br
2 1 2 6
direct
0.7166 0.4332 0.1994
0.2834 0.5668 0.8006
0.5000 0.0000 0.5000
0.9679 0.9358 0.8208
0.0321 0.0642 0.1792
0.7398 0.4796 0.6050
0.2226 0.8892 0.2398
0.3334 0.1108 0.7602
0.7774 0.1108 0.7602
0.6666 0.8892 0.2398
0.2602 0.5204 0.3950
```

## Properties
M_tot (μB/atom): 0.000
E_form (uncorrected) (eV/atom): -1.192

---

A plane-wave DFT calculation with PBE-GGA was carried out for a relaxed structure of CsLiIn2Br.

Geometry as POSCAR:
```
CsLiIn2Br
1.0
-1.9468 4.8494 -0.6912
-1.7684 0.1685 6.1633
4.6779 2.0612 1.2858
Cs Li Br In
1 1 1 2
direct
0.5000 0.5000 0.5000
0.0000 0.0000 0.0000
0.0000 0.5000 0.0000
0.0000 0.0000 0.5000
0.5000 0.0000 0.0000
```

## Properties
M_tot (μB/atom): 0.000
E_form (uncorrected) (eV/atom): -0.355

---

A plane-wave DFT calculation with PBE-GGA was carried out for a relaxed structure of Cs2Mg2InBr7.

Geometry as POSCAR:
```
Cs2Mg2InBr7
1.0
5.4200 -0.0036 0.0139
0.0030 5.4200 0.0139
2.6749 2.6716 14.2170
Cs Mg In Br
2 2 1 7
direct
0.8194 0.8194 0.3608
0.1806 0.1806 0.6392
0.5935 0.5935 0.8098
0.4065 0.4065 0.1902
0.0000 0.0000 0.0000
0.5000 0.5000 0.0000
0.3118 0.3118 0.3769
0.6882 0.6882 0.6231
0.9106 0.4100 0.1803
0.4100 0.9106 0.1803
0.5900 0.0894 0.8197
0.0894 0.5900 0.8197
```

## Properties
M_tot (μB/atom): 0.000
E_form (uncorrected) (eV/atom): -1.426

---

A plane-wave DFT calculation with PBE-GGA was carried out for a relaxed structure of Cs2MgInBr5.

Geometry as POSCAR:
```
Cs2MgInBr5
1.0
-0.4173 3.3448 2.8416
2.8312 -7.7659 6.1368
15.7536 3.9227 -2.3039
Cs Mg In Br
4 2 2 10
direct
0.8519 0.7038 0.7968
0.0818 0.1637 0.6423
0.1481 0.2962 0.2968
0.9182 0.8363 0.1423
0.7787 0.5573 0.5313
0.2213 0.4427 0.0313
0.5424 0.0848 0.9537
0.4576 0.9152 0.4537
0.3444 0.6888 0.9843
0.6915 0.3830 0.9228
0.4971 0.9942 0.7749
0.2585 0.5169 0.6410
0.9032 0.8065 0.5770
0.6556 0.3112 0.4843
0.3085 0.6170 0.4228
0.5029 0.0058 0.2749
0.7415 0.4831 0.1410
0.0968 0.1935 0.0770
```

## Properties
M_tot (μB/atom): 0.000
E_form (uncorrected) (eV/atom): -1.390

---

Question: Look up the M_tot of the third one.
Answer: 0.000 μB/atom

---

Question: What is the formula in the second record?
Answer: CsLiIn2Br

---

Repeat the second record exactly.
A plane-wave DFT calculation with PBE-GGA was carried out for a relaxed structure of CsLiIn2Br.

Geometry as POSCAR:
```
CsLiIn2Br
1.0
-1.9468 4.8494 -0.6912
-1.7684 0.1685 6.1633
4.6779 2.0612 1.2858
Cs Li Br In
1 1 1 2
direct
0.5000 0.5000 0.5000
0.0000 0.0000 0.0000
0.0000 0.5000 0.0000
0.0000 0.0000 0.5000
0.5000 0.0000 0.0000
```

## Properties
M_tot (μB/atom): 0.000
E_form (uncorrected) (eV/atom): -0.355